Compound: RbY2NO
Source: Alexandria via LeMat-Bulk
Functional: PBE
Structure: relaxed

Lattice parameters (Å, degrees): 5.3931 5.3931 4.1832 90.00 90.00 90.00
Element x y z (fractional)
Rb  0.0000  0.0000  0.0000
Y  0.0000  0.5000  0.0000
Y  0.5000  0.0000  0.0000
N  0.0000  0.0000  0.5000
O  0.5000  0.5000  0.5000

Values from the calculation:
energy relative to the lowest polymorph listed for this composition: 2084 meV/atom
formation energy (no corrections): 1.655 eV/atom
space-group type: P4/mmm (123)
raw total energy: -18.91 eV/cell

***

Compound: Ag2TePt
Source: Alexandria via LeMat-Bulk
Functional: PBE
Structure: relaxed

Lattice parameters (Å, degrees): 10.7503 3.4654 4.6587 90.00 105.24 90.00
Element x y z (fractional)
Ag  0.0000  0.0000  0.0000
Ag  0.1666  0.0000  0.6156
Ag  0.5000  0.5000  0.0000
Ag  0.6666  0.5000  0.6156
Te  0.3936  0.0000  0.3988
Te  0.8936  0.5000  0.3988
Pt  0.2193  0.5000  0.1195
Pt  0.7193  0.0000  0.1195

Values from the calculation:
formation energy (no corrections): 0.046 eV/atom
space-group type: Cm (8)
raw total energy: -29.40 eV/cell

***

Compound: HfHIBr
Source: Alexandria via LeMat-Bulk
Functional: PBE
Structure: relaxed

Lattice parameters (Å, degrees): 3.6514 3.6514 8.2659 90.00 90.00 120.00
Element x y z (fractional)
Hf  0.0000  0.0000  0.0000
H  0.3333  0.6667  0.0349
I  0.0000  0.0000  0.3242
Br  0.6667  0.3333  0.7760

Values from the calculation:
space-group type: P3m1 (156)
raw total energy: -18.91 eV/cell

***

Compound: Ba2SrHfC
Source: Alexandria via LeMat-Bulk
Functional: PBE
Structure: relaxed

Lattice parameters (Å, degrees): 6.9570 6.9570 4.2692 90.00 90.00 90.00
Element x y z (fractional)
Ba  0.0000  0.5000  0.0000
Ba  0.5000  0.0000  0.0000
Sr  0.0000  0.0000  0.5000
Hf  0.5000  0.5000  0.0000
C  0.5000  0.5000  0.5000

Values from the calculation:
DFT formation energy: 0.8573 eV per atom
space-group type: P4/mmm (123)
raw total energy: -20.42 eV/cell

***

Compound: Tl2GaTe4Pb
Source: Alexandria via LeMat-Bulk
Functional: PBE
Structure: relaxed

Lattice parameters (Å, degrees): 8.5769 8.5769 7.3246 90.00 90.00 90.00
Element x y z (fractional)
Tl  0.0000  0.5000  0.0000
Tl  0.0000  0.5000  0.5000
Tl  0.5000  0.0000  0.0000
Tl  0.5000  0.0000  0.5000
Ga  0.0000  0.0000  0.0000
Ga  0.5000  0.5000  0.5000
Te  0.1820  0.1820  0.7870
Te  0.1820  0.8180  0.2130
Te  0.3180  0.3180  0.2870
Te  0.3180  0.6820  0.7130
Te  0.6820  0.3180  0.7130
Te  0.6820  0.6820  0.2870
Te  0.8180  0.1820  0.2130
Te  0.8180  0.8180  0.7870
Pb  0.0000  0.0000  0.5000
Pb  0.5000  0.5000  0.0000

Values from the calculation:
formation energy (no corrections): -0.281 eV/atom
space-group type: I-42m (121)
raw total energy: -52.57 eV/cell

***

Compound: KSc2Rh
Source: Alexandria via LeMat-Bulk
Functional: PBE
Structure: relaxed

Lattice parameters (Å, degrees): 7.4797 7.4797 12.3560 90.00 90.00 90.00
Element x y z (fractional)
K  0.0000  0.2500  0.3750
K  0.0000  0.7500  0.6250
K  0.5000  0.2500  0.1250
K  0.5000  0.7500  0.8750
Sc  0.0000  0.0000  0.0000
Sc  0.0000  0.5000  0.0000
Sc  0.2500  0.2500  0.7500
Sc  0.2500  0.7500  0.2500
Sc  0.5000  0.0000  0.5000
Sc  0.5000  0.5000  0.5000
Sc  0.7500  0.2500  0.7500
Sc  0.7500  0.7500  0.2500
Rh  0.0000  0.2500  0.8750
Rh  0.0000  0.7500  0.1250
Rh  0.5000  0.2500  0.6250
Rh  0.5000  0.7500  0.3750

Values from the calculation:
DFT formation energy: 0.3503 eV per atom
energy relative to the lowest polymorph listed for this composition: 591 meV/atom
space-group type: I4_1/amd (141)
raw total energy: -78.84 eV/cell

***

Compound: NdTaO4
Source: Alexandria via LeMat-Bulk
Functional: PBE
Structure: relaxed

Lattice parameters (Å, degrees): 7.1856 7.3932 3.2966 90.00 90.00 90.00
Element x y z (fractional)
Nd  0.0000  0.0000  0.0000
Nd  0.5000  0.5000  0.0000
Ta  0.0000  0.5000  0.5000
Ta  0.5000  0.0000  0.5000
O  0.0000  0.3278  0.0000
O  0.0000  0.6722  0.0000
O  0.2278  0.0000  0.5000
O  0.2722  0.5000  0.5000
O  0.5000  0.1722  0.0000
O  0.5000  0.8278  0.0000
O  0.7278  0.5000  0.5000
O  0.7722  0.0000  0.5000

Values from the calculation:
formation energy (no corrections): -2.996 eV/atom
space-group type: Cmmm (65)
raw total energy: -108.86 eV/cell

***

Compound: LiIn3Pb
Source: Alexandria via LeMat-Bulk
Functional: PBE
Structure: relaxed

Lattice parameters (Å, degrees): 5.1324 5.1324 5.1324 90.00 90.00 90.00
Element x y z (fractional)
Li  0.0000  0.0000  0.0000
In  0.0000  0.0000  0.5000
In  0.0000  0.5000  0.0000
In  0.5000  0.0000  0.0000
Pb  0.5000  0.5000  0.5000

Values from the calculation:
DFT formation energy: 0.1349 eV per atom
energy relative to the lowest polymorph listed for this composition: 215 meV/atom
space-group type: Pm-3m (221)
raw total energy: -13.16 eV/cell

***

Compound: BeCr2Mo
Source: Alexandria via LeMat-Bulk
Functional: PBE
Structure: relaxed

Lattice parameters (Å, degrees): 3.0393 3.9341 8.0887 90.00 90.00 90.00
Element x y z (fractional)
Be  0.0000  0.0000  0.0000
Be  0.5000  0.5000  0.5000
Cr  0.0000  0.5000  0.2436
Cr  0.0000  0.5000  0.7564
Cr  0.5000  0.0000  0.2564
Cr  0.5000  0.0000  0.7436
Mo  0.0000  0.0000  0.5000
Mo  0.5000  0.5000  0.0000

Values from the calculation:
DFT formation energy: 0.1314 eV per atom
space-group type: Immm (71)
raw total energy: -66.56 eV/cell

***

Compound: SiPdW2I
Source: Alexandria via LeMat-Bulk
Functional: PBE
Structure: relaxed

Lattice parameters (Å, degrees): 4.8720 4.8720 5.0890 90.00 90.00 90.00
Element x y z (fractional)
Si  0.0000  0.0000  0.0000
Pd  0.5000  0.5000  0.0000
W  0.0000  0.5000  0.5000
W  0.5000  0.0000  0.5000
I  0.0000  0.0000  0.5000

Values from the calculation:
formation energy (no corrections): 2.747 eV/atom
space-group type: P4/mmm (123)
raw total energy: -24.34 eV/cell

***

Compound: V2P2Rh
Source: Alexandria via LeMat-Bulk
Functional: PBE
Structure: relaxed

Lattice parameters (Å, degrees): 6.4128 6.4128 3.1681 90.00 90.00 90.00
Element x y z (fractional)
V  0.1452  0.3548  0.0000
V  0.3548  0.8548  0.0000
V  0.6452  0.1452  0.0000
V  0.8548  0.6452  0.0000
P  0.1494  0.6494  0.5000
P  0.3506  0.1494  0.5000
P  0.6494  0.8506  0.5000
P  0.8506  0.3506  0.5000
Rh  0.0000  0.0000  0.5000
Rh  0.5000  0.5000  0.5000

Values from the calculation:
DFT formation energy: -0.6105 eV per atom
space-group type: P4/mbm (127)
raw total energy: -78.92 eV/cell

***

Compound: KBe2Cd
Source: Alexandria via LeMat-Bulk
Functional: PBE
Structure: relaxed

Lattice parameters (Å, degrees): 7.2935 4.2156 6.5419 90.00 111.08 90.00
Element x y z (fractional)
K  0.0000  0.0000  0.0000
K  0.5000  0.5000  0.0000
Be  0.1717  0.0000  0.5161
Be  0.3283  0.5000  0.4839
Be  0.6717  0.5000  0.5161
Be  0.8283  0.0000  0.4839
Cd  0.0000  0.5000  0.5000
Cd  0.5000  0.0000  0.5000

Values from the calculation:
DFT formation energy: 0.3109 eV per atom
space-group type: C2/m (12)
raw total energy: -16.44 eV/cell